Record 1
# Lu2BeNb

An optimized crystal structure of Lu2BeNb (PBE-GGA, the Open Quantum Materials Database).

Uncorrected energy: -5.26 eV/atom
Total moment: 0.02 μB per cell

Unit cell a=4.828 b=4.828 c=4.828 alpha=60.00 beta=60.00 gamma=60.00
Positions (direct):
Lu: 0.000 0.000 0.000
Lu: 0.250 0.250 0.250
Be: 0.500 0.500 0.500
Nb: 0.750 0.750 0.750


Record 2
# LuBeNb

An optimized crystal structure of LuBeNb (PBE-GGA, the Open Quantum Materials Database).

Uncorrected energy: -4.68 eV/atom
Total moment: 2.41 μB per cell

Unit cell a=4.567 b=4.567 c=4.567 alpha=60.00 beta=60.00 gamma=60.00
Positions (direct):
Lu: 0.000 0.000 0.000
Be: 0.750 0.750 0.750
Nb: 0.250 0.250 0.250


Record 3
# LuBeNbOs

An optimized crystal structure of LuBeNbOs (PBE-GGA, the Open Quantum Materials Database).

Uncorrected energy: -7.02 eV/atom
Total moment: 0.60 μB per cell

Unit cell a=4.490 b=4.490 c=4.490 alpha=60.00 beta=60.00 gamma=60.00
Positions (direct):
Lu: 0.000 0.000 0.000
Be: 0.500 0.500 0.500
Nb: 0.750 0.750 0.750
Os: 0.250 0.250 0.250


Record 4
# LuBeNbOs

An optimized crystal structure of LuBeNbOs (PBE-GGA, the Open Quantum Materials Database).

Uncorrected energy: -7.44 eV/atom
Total moment: 0.00 μB per cell

Unit cell a=4.491 b=4.491 c=4.491 alpha=60.00 beta=60.00 gamma=60.00
Positions (direct):
Lu: 0.000 0.000 0.000
Be: 0.750 0.750 0.750
Nb: 0.250 0.250 0.250
Os: 0.500 0.500 0.500


Question: What is the total moment in the third record?
Answer: 0.60 μB per cell


Question: What is the formula in the first record?
Answer: Lu2BeNb